DFT (PBE-GGA) results for Tb4Mg5Hg2 after structural relaxation.

Cell lengths 7.9932, 3.4983, 10.4775 Å; angles 90.00, 93.58, 90.00 degrees
Space group P2/m (No. 10)
Symmetry-distinct sites (fractional):
Tb 0.1584 0.0000 0.3816 (multiplicity 2)
Tb 0.2654 0.0000 0.9478 (multiplicity 2)
Mg 0.1998 0.5000 0.6652 (multiplicity 2)
Mg 0.4372 0.5000 0.2052 (multiplicity 2)
Mg 0.5000 0.5000 0.5000 (multiplicity 1)
Hg 0.0606 0.5000 0.1421 (multiplicity 2)

Summary:
Total magnetic moment ... 0.00 μB/f.u.
Crystal system ... monoclinic
Final energy ... -28.9 eV for the cell shown
V ... 292.4 Å³/cell

DFT (PBE-GGA) results for TbMgHg4 after structural relaxation.

Cell lengths 4.1604, 5.3494, 7.3203 Å; angles 107.64, 90.15, 111.97 degrees
Space group P-1 (No. 2)
Symmetry-distinct sites (fractional):
Tb 0.0000 0.0000 0.0000 (multiplicity 1)
Mg 0.0000 0.0000 0.5000 (multiplicity 1)
Hg 0.3274 0.6600 0.6595 (multiplicity 2)
Hg 0.3430 0.6800 0.1842 (multiplicity 2)

Summary:
Total magnetic moment ... 0.00 μB/f.u.
Crystal system ... triclinic
Final energy ... -9.1 eV for the cell shown
V ... 142.7 Å³/cell

DFT (PBE-GGA) results for Tb4Mg3Hg after structural relaxation.

Cell lengths 3.7971, 3.7971, 15.0006 Å; angles 90.00, 90.00, 90.00 degrees
Space group P4/mmm (No. 123)
Symmetry-distinct sites (fractional):
Tb 0.0000 0.0000 0.1215 (multiplicity 2)
Tb 0.0000 0.0000 0.3725 (multiplicity 2)
Mg 0.5000 0.5000 0.2496 (multiplicity 2)
Mg 0.5000 0.5000 0.5000 (multiplicity 1)
Hg 0.5000 0.5000 0.0000 (multiplicity 1)

Summary:
Total magnetic moment ... 0.00 μB/f.u.
Crystal system ... tetragonal
Final energy ... -25.1 eV for the cell shown
V ... 216.3 Å³/cell

DFT (PBE-GGA) results for TbMg11Hg after structural relaxation.

Cell lengths 5.9054, 14.3499, 7.6973 Å; angles 90.00, 111.46, 90.00 degrees
Space group C2/m (No. 12)
Symmetry-distinct sites (fractional):
Tb 0.0000 0.0000 0.0000 (multiplicity 2)
Mg 0.0000 0.0000 0.5000 (multiplicity 2)
Mg 0.1051 0.3953 0.2135 (multiplicity 8)
Mg 0.1753 0.1737 0.3525 (multiplicity 8)
Mg 0.2500 0.2500 0.0000 (multiplicity 4)
Hg 0.0000 0.5000 0.5000 (multiplicity 2)

Summary:
Total magnetic moment ... 0.00 μB/f.u.
Crystal system ... monoclinic
Final energy ... -46.8 eV for the cell shown
V ... 607.1 Å³/cell

DFT (PBE-GGA) results for Tb5MgHg4 after structural relaxation.

Cell lengths 3.7573, 3.7573, 18.6170 Å; angles 90.00, 90.00, 90.00 degrees
Space group P4/mmm (No. 123)
Symmetry-distinct sites (fractional):
Tb 0.0000 0.0000 0.0000 (multiplicity 1)
Tb 0.0000 0.0000 0.1987 (multiplicity 2)
Tb 0.0000 0.0000 0.3971 (multiplicity 2)
Mg 0.5000 0.5000 0.5000 (multiplicity 1)
Hg 0.5000 0.5000 0.0997 (multiplicity 2)
Hg 0.5000 0.5000 0.3018 (multiplicity 2)

Summary:
Total magnetic moment ... 0.73 μB/f.u.
Crystal system ... tetragonal
Final energy ... -29.9 eV for the cell shown
V ... 262.8 Å³/cell

DFT (PBE-GGA) results for Tb3Mg2Hg after structural relaxation.

Cell lengths 3.8101, 3.8101, 11.1150 Å; angles 90.00, 90.00, 90.00 degrees
Space group P4/mmm (No. 123)
Symmetry-distinct sites (fractional):
Tb 0.0000 0.0000 0.0000 (multiplicity 1)
Tb 0.0000 0.0000 0.3374 (multiplicity 2)
Mg 0.5000 0.5000 0.1655 (multiplicity 2)
Hg 0.5000 0.5000 0.5000 (multiplicity 1)

Summary:
Total magnetic moment ... 0.00 μB/f.u.
Crystal system ... tetragonal
Final energy ... -18.7 eV for the cell shown
V ... 161.4 Å³/cell

Quick rundown of E_form, same order as above: -16, -26, -18, -7, -39, -21 kJ per mole of atoms